(1)
DFT (SCAN) results for a PBEsol-optimized structure of Zr2TcHg.

Results
The calculation puts the formation energy at -0.098 eV per atom.

Structure (POSCAR):
```
Zr2TcHg
1.0
3.4383 0.0000 0.0000
0.0000 3.4383 0.0000
0.0000 0.0000 6.3575
Zr Tc Hg
2 1 1
direct
0.0000 0.0000 0.0000
0.5000 0.5000 0.2781
0.5000 0.5000 0.7912
0.0000 0.0000 0.5362
```

***

(2)
DFT (SCAN) results for a PBEsol-optimized structure of ZrTc2Hg.

Results
The calculation puts the formation energy at 0.060 eV per atom.

Structure (POSCAR):
```
ZrTc2Hg
1.0
4.0467 0.0000 0.0000
0.0000 4.0467 0.0000
0.0000 0.0000 8.1198
Zr Tc Hg
2 4 2
direct
0.0000 0.0000 0.0000
0.5000 0.5000 0.5000
0.0000 0.0000 0.5000
0.0000 0.5000 0.7500
0.5000 0.0000 0.2500
0.5000 0.5000 0.0000
0.0000 0.5000 0.2500
0.5000 0.0000 0.7500
```

***

(3)
DFT (SCAN) results for a PBEsol-optimized structure of Zr2TcHg.

Results
The calculation puts the formation energy at -0.470 eV per atom.

Structure (POSCAR):
```
Zr2TcHg
1.0
3.2976 0.0000 0.0000
0.0000 3.2976 0.0000
0.0000 0.0000 7.0030
Zr Tc Hg
2 1 1
direct
0.0000 0.0000 0.2215
0.0000 0.0000 0.7785
0.5000 0.5000 0.0000
0.5000 0.5000 0.5000
```

***

(4)
DFT (SCAN) results for a PBEsol-optimized structure of HgTe.

Results
The value obtained for the uncorrected formation energy is 0.03 eV per atom.

Structure (POSCAR):
```
HgTe
1.0
2.9959 0.0000 0.0000
0.0000 2.9959 0.0000
0.0000 0.0000 6.5111
Hg Te
1 1
direct
0.0000 0.0000 0.0000
0.5000 0.5000 0.5000
```

***

(5)
DFT (SCAN) results for a PBEsol-optimized structure of HgTe.

Results
The value obtained for the uncorrected formation energy is 0.17 eV per atom.

Structure (POSCAR):
```
HgTe
1.0
5.3879 0.0000 0.0000
-2.6939 4.6660 0.0000
0.0000 0.0000 8.7960
Hg Te
4 4
direct
0.3333 0.6667 0.0835
0.3333 0.6667 0.4165
0.6667 0.3333 0.5835
0.6667 0.3333 0.9165
0.0000 0.0000 0.2500
0.0000 0.0000 0.7500
0.3333 0.6667 0.7500
0.6667 0.3333 0.2500
```

***

(6)
DFT (SCAN) results for a PBEsol-optimized structure of HgTe.

Results
The value obtained for the uncorrected formation energy is -0.13 eV per atom.

Structure (POSCAR):
```
HgTe
1.0
4.5022 0.0000 0.0000
-2.2511 3.8990 0.0000
0.0000 0.0000 10.1561
Hg Te
3 3
direct
0.0000 0.6416 0.1667
0.3584 0.3584 0.5000
0.6416 0.0000 0.8333
0.0000 0.5443 0.6667
0.4557 0.4557 0.0000
0.5443 0.0000 0.3333
```

***

(7)
DFT (SCAN) results for a PBEsol-optimized structure of HgTe4.

Results
The value obtained for the uncorrected formation energy is 0.35 eV per atom.

Structure (POSCAR):
```
HgTe4
1.0
6.8465 0.0000 0.0000
0.0000 6.8465 0.0000
0.0000 0.0000 6.8465
Hg Te
2 8
direct
0.0000 0.0000 0.0000
0.5000 0.5000 0.5000
0.2500 0.2500 0.2500
0.2500 0.2500 0.7500
0.2500 0.7500 0.2500
0.2500 0.7500 0.7500
0.7500 0.2500 0.2500
0.7500 0.2500 0.7500
0.7500 0.7500 0.2500
0.7500 0.7500 0.7500
```

***

(8)
DFT (SCAN) results for a PBEsol-optimized structure of HgTe.

Results
The value obtained for the uncorrected formation energy is 0.05 eV per atom.

Structure (POSCAR):
```
HgTe
1.0
2.9980 0.0000 0.0000
0.0000 2.9980 0.0000
0.0000 0.0000 12.8526
Hg Te
2 2
direct
0.2500 0.2500 0.1100
0.7500 0.7500 0.8900
0.2500 0.2500 0.6441
0.7500 0.7500 0.3559
```

***

(9)
DFT (SCAN) results for a PBEsol-optimized structure of Hg4Te3.

Results
The value obtained for the uncorrected formation energy is 0.00 eV per atom.

Structure (POSCAR):
```
Hg4Te3
1.0
4.2089 0.0000 0.0000
0.0000 4.2089 0.0000
0.0000 0.0000 22.7132
Hg Te
8 6
direct
0.0000 0.0000 0.0588
0.0000 0.0000 0.3232
0.0000 0.0000 0.6768
0.0000 0.0000 0.9412
0.5000 0.5000 0.1768
0.5000 0.5000 0.4412
0.5000 0.5000 0.5588
0.5000 0.5000 0.8232
0.0000 0.0000 0.1783
0.0000 0.0000 0.5000
0.0000 0.0000 0.8217
0.5000 0.5000 0.0000
0.5000 0.5000 0.3217
0.5000 0.5000 0.6783
```

***

(10)
DFT (SCAN) results for a PBEsol-optimized structure of Hg3Te4.

Results
The value obtained for the uncorrected formation energy is 0.02 eV per atom.

Structure (POSCAR):
```
Hg3Te4
1.0
4.3441 0.0000 0.0000
0.0000 4.3441 0.0000
0.0000 0.0000 23.1789
Hg Te
6 8
direct
0.0000 0.0000 0.0000
0.0000 0.0000 0.2542
0.0000 0.0000 0.7458
0.5000 0.5000 0.2458
0.5000 0.5000 0.5000
0.5000 0.5000 0.7542
0.0000 0.0000 0.1212
0.0000 0.0000 0.3853
0.0000 0.0000 0.6147
0.0000 0.0000 0.8788
0.5000 0.5000 0.1147
0.5000 0.5000 0.3788
0.5000 0.5000 0.6212
0.5000 0.5000 0.8853
```

***

(11)
DFT (SCAN) results for a PBEsol-optimized structure of HgTe.

Results
The value obtained for the uncorrected formation energy is -0.17 eV per atom.

Structure (POSCAR):
```
HgTe
1.0
6.5054 0.0000 0.0000
0.0000 6.5054 0.0000
0.0000 0.0000 6.5054
Hg Te
4 4
direct
0.0000 0.0000 0.0000
0.0000 0.5000 0.5000
0.5000 0.0000 0.5000
0.5000 0.5000 0.0000
0.2500 0.2500 0.2500
0.2500 0.7500 0.7500
0.7500 0.2500 0.7500
0.7500 0.7500 0.2500
```

***

(12)
DFT (SCAN) results for a PBEsol-optimized structure of HgTe.

Results
The value obtained for the uncorrected formation energy is 0.28 eV per atom.

Structure (POSCAR):
```
HgTe
1.0
3.7092 0.0000 0.0000
0.0000 3.7092 0.0000
0.0000 0.0000 3.7092
Hg Te
1 1
direct
0.0000 0.0000 0.0000
0.5000 0.5000 0.5000
```

***

The calculation returns the following E_tot values, one per record and in order: -41.254 -42.186 -41.626 -52.675 -52.534 -52.838 -43.088 -52.660 -54.917 -50.478 -52.876 -52.425 eV per atom.